Material: NaMn2Ni
Method: DFT, GGA-PBEsol
State: optimized geometry

Cell: 6.071 6.071 6.071 Å, 90.00 90.00 90.00°
Atoms (fractional coordinates):
1 Na 0.000 0.000 0.000
2 Na 0.000 0.500 0.500
3 Na 0.500 0.000 0.500
4 Na 0.500 0.500 0.000
5 Mn 0.250 0.250 0.250
6 Mn 0.250 0.250 0.750
7 Mn 0.250 0.750 0.250
8 Mn 0.250 0.750 0.750
9 Mn 0.750 0.250 0.250
10 Mn 0.750 0.250 0.750
11 Mn 0.750 0.750 0.250
12 Mn 0.750 0.750 0.750
13 Ni 0.000 0.000 0.500
14 Ni 0.000 0.500 0.000
15 Ni 0.500 0.000 0.000
16 Ni 0.500 0.500 0.500

Theoretical density in g/cm3: 5.7
Crystal system: cubic
Energy in eV/atom: -6.026
Total moment in μB per formula unit: 7.956
Energy of formation in eV per atom: 0.744
Volume in Å³ per atom: 14.0
SG: Fm-3m

---

Material: Zn2SiHgMo
Method: DFT, GGA-PBEsol
State: optimized geometry

Cell: 4.738 4.738 5.028 Å, 90.00 90.00 90.00°
Atoms (fractional coordinates):
1 Zn 0.000 0.500 0.000
2 Zn 0.500 0.000 0.000
3 Si 0.000 0.000 0.500
4 Hg 0.000 0.000 0.000
5 Mo 0.500 0.500 0.500

Theoretical density in g/cm3: 6.7
ΔE_f (raw) in eV/f.u.: 7.4
Crystal system: tetragonal
Energy in eV/atom: -2.761
Total moment in μB per formula unit: 3.900
Volume in Å³ per atom: 22.6
SG: P4/mmm